# 1
Compound: TlAu6
Source: the Alexandria database
Functional: GGA-PBE
Structure: relaxed

Cell and atoms, written as CIF:
```
data_TlAu6
_cell_length_a 7.5374
_cell_length_b 7.5374
_cell_length_c 7.5374
_cell_angle_alpha 90.00
_cell_angle_beta 90.00
_cell_angle_gamma 90.00
_symmetry_space_group_name_H-M 'I m -3 m'
_symmetry_Int_Tables_number 229
_symmetry_space_group_name_Hall '-I 4 2 3'
loop_
_atom_site_label
_atom_site_fract_x
_atom_site_fract_y
_atom_site_fract_z
Tl1 0.0000 0.0000 0.0000
Au1 0.0000 0.2500 0.5000
```

Summary:
Crystal system: cubic
E: -2.73 eV/atom
Fermi-level density of states: 0.2086 states/eV/atom

---

# 2
Compound: Tl3Au
Source: the Alexandria database
Functional: GGA-PBE
Structure: relaxed

Cell and atoms, written as CIF:
```
data_Tl3Au
_cell_length_a 3.5307
_cell_length_b 5.3964
_cell_length_c 11.9469
_cell_angle_alpha 90.00
_cell_angle_beta 90.00
_cell_angle_gamma 90.00
_symmetry_space_group_name_H-M 'I m m m'
_symmetry_Int_Tables_number 71
_symmetry_space_group_name_Hall '-I 2 2'
loop_
_atom_site_label
_atom_site_fract_x
_atom_site_fract_y
_atom_site_fract_z
Tl1 0.0000 0.0000 0.0000
Tl2 0.0000 0.5000 0.2064
Au1 0.0000 0.0000 0.5000
```

Summary:
Crystal system: orthorhombic
E: -2.59 eV/atom
Fermi-level density of states: 0.3600 states/eV/atom

---

Short version: distance to the lowest polymorph of the same formula = 366 36 meV/atom, in the order given.
Short version: calculated formation energy = 0.4175 0.0044 eV/atom, in the order given.